Record 1
{
  "formula": "LaPrZn4Ni2",
  "functional": "GGA-PBE",
  "state": "relaxed",
  "final_energy_ev_per_atom": -3.63,
  "e_form_ev_per_atom": -0.398,
  "cell": [[7.476, 0.000, 0.000], [0.000, 2.035, 4.862], [0.000, -2.035, 4.862]],
  "species": ["Pr", "Zn", "Zn", "Zn", "Zn", "La", "Ni", "Ni"],
  "fractional_positions": [[0.000, 0.561, 0.561], [0.699, 0.157, 0.157], [0.301, 0.157, 0.157], [0.806, 0.844, 0.844], [0.194, 0.844, 0.844], [0.500, 0.440, 0.440], [0.000, 0.282, 0.282], [0.500, 0.716, 0.716]]
}

***

Record 2
{
  "formula": "La3NiPt8",
  "functional": "GGA-PBE",
  "state": "relaxed",
  "final_energy_ev_per_atom": -6.62,
  "e_form_ev_per_atom": -0.893,
  "cell": [[5.328, 0.679, 7.695], [6.286, -4.269, 5.507], [8.739, 0.181, 3.416]],
  "species": ["Pt", "Pt", "Pt", "Pt", "Pt", "Pt", "Pt", "Pt", "La", "La", "La", "Ni"],
  "fractional_positions": [[0.914, 0.413, 0.413], [0.332, 0.332, 0.332], [0.587, 0.587, 0.086], [0.587, 0.086, 0.587], [0.413, 0.914, 0.413], [0.413, 0.413, 0.914], [0.668, 0.668, 0.668], [0.086, 0.587, 0.587], [0.000, 0.000, 0.000], [0.140, 0.140, 0.140], [0.860, 0.860, 0.860], [0.500, 0.500, 0.500]]
}

***

Record 3
{
  "formula": "La3Ni8Pt",
  "functional": "GGA-PBE",
  "state": "relaxed",
  "final_energy_ev_per_atom": -5.88,
  "e_form_ev_per_atom": -0.435,
  "cell": [[2.542, 1.467, 8.472], [-2.542, 1.467, 8.472], [0.000, -2.935, 8.472]],
  "species": ["La", "La", "La", "Ni", "Ni", "Ni", "Ni", "Ni", "Ni", "Ni", "Ni", "Pt"],
  "fractional_positions": [[0.000, 0.000, 0.000], [0.136, 0.136, 0.136], [0.864, 0.864, 0.864], [0.077, 0.579, 0.579], [0.421, 0.421, 0.923], [0.579, 0.077, 0.579], [0.923, 0.421, 0.421], [0.667, 0.667, 0.667], [0.333, 0.333, 0.333], [0.421, 0.923, 0.421], [0.579, 0.579, 0.077], [0.500, 0.500, 0.500]]
}

***

Record 4
{
  "formula": "LaNiPt2",
  "functional": "GGA-PBE",
  "state": "relaxed",
  "final_energy_ev_per_atom": -6.47,
  "e_form_ev_per_atom": -0.820,
  "cell": [[2.734, 1.578, 8.507], [-2.734, 1.578, 8.507], [0.000, -3.157, 8.507]],
  "species": ["Ni", "Ni", "Ni", "Pt", "Pt", "Pt", "Pt", "Pt", "Pt", "La", "La", "La"],
  "fractional_positions": [[0.500, 0.500, 0.500], [0.333, 0.333, 0.333], [0.667, 0.667, 0.667], [0.582, 0.082, 0.582], [0.918, 0.418, 0.418], [0.582, 0.582, 0.082], [0.418, 0.418, 0.918], [0.082, 0.582, 0.582], [0.418, 0.918, 0.418], [0.000, 0.000, 0.000], [0.140, 0.140, 0.140], [0.860, 0.860, 0.860]]
}